DFT (PBE) results for a relaxed structure of BeCd6Pd12.

calculated density = 10.05 Mg/m³
total magnetic moment = 0.00 μB per cell
E = -3.9835 eV per atom
density of states at the Fermi level = 7.2 states/eV per cell

Cell lengths 6.8876, 6.8876, 6.8876 Å; angles 94.14, 94.14, 94.14 degrees
Fractional positions:
Be: 0.0000 0.0000 0.0000
Cd: 0.1253 0.3046 0.7363
Cd: 0.2637 0.8747 0.6954
Cd: 0.3046 0.7363 0.1253
Cd: 0.6954 0.2637 0.8747
Cd: 0.7363 0.1253 0.3046
Cd: 0.8747 0.6954 0.2637
Pd: 0.0292 0.3403 0.1196
Pd: 0.1196 0.0292 0.3403
Pd: 0.2099 0.5332 0.4460
Pd: 0.3403 0.1196 0.0292
Pd: 0.4460 0.2099 0.5332
Pd: 0.4668 0.5540 0.7901
Pd: 0.5332 0.4460 0.2099
Pd: 0.5540 0.7901 0.4668
Pd: 0.6597 0.8804 0.9708
Pd: 0.7901 0.4668 0.5540
Pd: 0.8804 0.9708 0.6597
Pd: 0.9708 0.6597 0.8804

=====

DFT (PBE) results for a relaxed structure of BeCd2Pd2.

polymorph energy (0 for the lowest one) = 0.0 meV/atom
calculated density = 8.93 Mg/m³
total magnetic moment = 0.00 μB per cell
density of states at the Fermi level = 3.7 states/eV per cell

Cell lengths 6.0413, 6.0413, 4.5513 Å; angles 90.00, 90.00, 90.00 degrees
Fractional positions:
Be: 0.0000 0.0000 0.0000
Be: 0.5000 0.5000 0.0000
Cd: 0.1660 0.3340 0.5000
Cd: 0.3340 0.8340 0.5000
Cd: 0.6660 0.1660 0.5000
Cd: 0.8340 0.6660 0.5000
Pd: 0.1570 0.6570 0.0000
Pd: 0.3430 0.1570 0.0000
Pd: 0.6570 0.8430 0.0000
Pd: 0.8430 0.3430 0.0000